1.
Here is an optimized crystal structure of HoMg6 from Alexandria via LeMat-Bulk. Energies are from PBE-GGA.

a b c (Å): 7.7017 7.7017 7.7017
angles (deg): 90.00 90.00 90.00
With the nearest neighbours (Å) after each atom.
Space group Im-3m (No. 229)
Symmetry-distinct sites (fractional):
Ho (0.0000, 0.0000, 0.0000) x2  24 Mg 4.31
Mg (0.0000, 0.2500, 0.5000) x12  4 Mg 2.72

## Properties
The final energy is -17.65 eV for the cell shown. For the energy relative to the elements, the calculation gives 5.3 eV per formula unit. As for the volume: 32.631 A^3/atom. The polymorph energy (0 for the lowest one) is 743.6 meV per atom.


2.
Here is an optimized crystal structure of Ho3Mg from Alexandria via LeMat-Bulk. Energies are from PBE-GGA.

a b c (Å): 3.3738 3.3922 10.6982
angles (deg): 90.00 90.00 90.00
With the nearest neighbours (Å) after each atom.
Space group Pmm2 (No. 25)
Symmetry-distinct sites (fractional):
Ho (0.0000, 0.0000, 0.0000) x1  10 Ho 3.37-3.46
Ho (0.0000, 0.5000, 0.2816) x1  4 Mg 3.35, 6 Ho 3.37-3.46
Ho (0.5000, 0.5000, 0.7677) x1  2 Mg 3.32, 8 Ho 3.37-3.45
Mg (0.5000, 0.0000, 0.5013) x1  6 Ho 3.32-3.35, 4 Mg 3.37-3.39

## Properties
The final energy is -14.51 eV for the cell shown. For the energy relative to the elements, the calculation gives 0.8 eV per formula unit. As for the volume: 30.609 A^3/atom. The polymorph energy (0 for the lowest one) is 219.9 meV per atom.


3.
Here is an optimized crystal structure of HoMg6 from Alexandria via LeMat-Bulk. Energies are from PBE-GGA.

a b c (Å): 9.4417 5.9608 12.1327
angles (deg): 90.00 90.00 90.00
With the nearest neighbours (Å) after each atom.
Space group Pnma (No. 62)
Symmetry-distinct sites (fractional):
Ho (0.2467, 0.2500, 0.0667) x4  11 Mg 3.38-3.69
Mg (0.0558, 0.7500, 0.0845) x4  5 Mg 2.94-3.15
Mg (0.0629, 0.0113, 0.3079) x8  9 Mg 2.85-3.18
Mg (0.0965, 0.2500, 0.5197) x4  6 Mg 2.95-3.21
Mg (0.1417, 0.7500, 0.8513) x4  8 Mg 2.94-3.24
Mg (0.1920, 0.2500, 0.7542) x4  7 Mg 2.87-3.15

## Properties
The final energy is -56.13 eV for the cell shown. For the energy relative to the elements, the calculation gives 0.1 eV per formula unit. As for the volume: 24.387 A^3/atom. The polymorph energy (0 for the lowest one) is 0.0 meV per atom.


4.
Here is an optimized crystal structure of Ho3Mg5 from Alexandria via LeMat-Bulk. Energies are from PBE-GGA.

a b c (Å): 7.6499 10.5146 5.1808
angles (deg): 90.00 90.00 90.00
With the nearest neighbours (Å) after each atom.
Space group Cmmm (No. 65)
Symmetry-distinct sites (fractional):
Ho (0.0000, 0.0000, 0.0000) x2  8 Mg 3.24-3.25
Ho (0.0000, 0.2565, 0.5000) x4  8 Mg 3.18-3.33
Mg (0.0000, 0.5000, 0.0000) x2  8 Mg 3.20-3.25
Mg (0.2457, 0.5000, 0.5000) x4  6 Ho 3.18-3.33, 2 Mg 3.20
Mg (0.2500, 0.2500, 0.0000) x4  6 Ho 3.22-3.25, 2 Mg 3.25

## Properties
The final energy is -44.34 eV for the cell shown. For the energy relative to the elements, the calculation gives -0.5 eV per formula unit. As for the volume: 26.045 A^3/atom.


Q: The lowest final energy belongs to which entry?
A: number 3